This record from the Alexandria database describes a relaxed structure of CsPrCo2F8. The functional is GGA+U.

a b c (Å): 5.4702 5.2889 7.8522
angles (deg): 104.09 101.99 88.88
Last column: nearest neighbours and their distance in Å.
Positions (direct):
F: 0.6795 0.7298 0.0831  2 Co 2.09-2.10
F: 0.7877 0.2728 0.8214  1 Co 1.97
F: 0.7068 0.7546 0.7337  1 Co 1.95
F: 0.7876 0.2787 0.2089  1 Co 1.95
F: 0.3205 0.2702 0.9169  2 Co 2.09-2.10
F: 0.2123 0.7272 0.1786  1 Co 1.97
F: 0.2124 0.7213 0.7911  1 Co 1.95
F: 0.2932 0.2454 0.2663  1 Co 1.95
Pr: 0.0000 0.0000 0.0000  8 F 2.37-2.56
Cs: 0.0000 0.0000 0.5000  8 F 3.03-3.36
Co: 0.4821 0.4753 0.1776  5 F 1.95-2.10
Co: 0.5179 0.5247 0.8224  5 F 1.95-2.10

Values from the calculation:
magnetization = 6.0 μB per cell
raw total energy = -5.351 eV per atom
ρ = 4.19 Mg/m³